No. 1
## GdLuNb2Si2 (GGA-PBE)

Data for GdLuNb2Si2 after structural relaxation.

Results
Crystal system ... tetragonal
Total moment ... 1.0 μB/f.u.
Total energy ... -7.32 eV per atom

The structure in POSCAR format:
```
GdLuNb2Si2
1.0
3.998 0.000 0.000
0.000 3.998 0.000
0.000 0.000 7.736
Gd Lu Nb Si
1 1 2 2
direct
0.500 0.500 0.643
0.000 0.000 0.350
0.500 0.000 0.002
0.000 0.500 0.002
0.500 0.500 0.244
0.000 0.000 0.760
```

---

No. 2
## GdLuNi (GGA-PBE)

Data for GdLuNi after structural relaxation.

Results
Crystal system ... cubic
Total moment ... 0.0 μB/f.u.
Total energy ... -5.10 eV per atom
Distance to the lowest polymorph of the same formula ... 0 meV/atom
Formation energy from the elements ... -0.180 eV/atom

The structure in POSCAR format:
```
GdLuNi
1.0
2.354 0.374 4.054
-1.111 3.394 3.060
-2.115 -1.091 4.056
Gd Lu Ni
1 1 1
direct
0.250 0.250 0.250
0.750 0.750 0.750
0.000 0.000 0.000
```

---

No. 3
## Gd2LuNi9 (GGA-PBE)

Data for Gd2LuNi9 after structural relaxation.

Results
Crystal system ... trigonal
Total moment ... 0.7 μB/f.u.
Total energy ... -5.73 eV per atom
Formation energy from the elements ... -0.403 eV/atom

The structure in POSCAR format:
```
Gd2LuNi9
1.0
2.463 1.422 8.137
-2.463 1.422 8.137
0.000 -2.844 8.137
Gd Lu Ni
2 1 9
direct
0.138 0.138 0.138
0.862 0.862 0.862
0.000 0.000 0.000
0.581 0.581 0.081
0.333 0.333 0.333
0.919 0.419 0.419
0.419 0.919 0.419
0.500 0.500 0.500
0.081 0.581 0.581
0.581 0.081 0.581
0.667 0.667 0.667
0.419 0.419 0.919
```

---

No. 4
## GdLu2Ni9 (GGA-PBE)

Data for GdLu2Ni9 after structural relaxation.

Results
Crystal system ... trigonal
Total moment ... 1.2 μB/f.u.
Total energy ... -5.76 eV per atom
Formation energy from the elements ... -0.446 eV/atom

The structure in POSCAR format:
```
GdLu2Ni9
1.0
2.190 -5.360 6.171
6.069 -2.451 5.363
2.315 -0.839 8.096
Gd Lu Ni
1 2 9
direct
0.000 0.000 0.000
0.140 0.140 0.140
0.860 0.860 0.860
0.585 0.585 0.081
0.333 0.333 0.333
0.919 0.415 0.415
0.415 0.919 0.415
0.500 0.500 0.500
0.585 0.081 0.585
0.081 0.585 0.585
0.667 0.667 0.667
0.415 0.415 0.919
```

---

No. 5
## GdLuSi4Ni2 (GGA-PBE)

Data for GdLuSi4Ni2 after structural relaxation.

Results
Crystal system ... orthorhombic
Total moment ... 0.0 μB/f.u.
Total energy ... -6.07 eV per atom

The structure in POSCAR format:
```
GdLuSi4Ni2
1.0
-3.666 -0.471 -1.404
0.703 -8.351 0.964
-0.783 -7.133 4.436
Gd Lu Ni Si
1 1 2 4
direct
0.500 0.395 0.395
0.000 0.606 0.606
0.500 0.177 0.177
0.000 0.822 0.822
0.500 0.041 0.041
0.000 0.249 0.249
0.500 0.749 0.749
0.000 0.961 0.961
```

---

No. 6
## GdLuNp (GGA-PBE)

Data for GdLuNp after structural relaxation.

Results
Crystal system ... cubic
Total moment ... 5.0 μB/f.u.
Total energy ... -6.16 eV per atom
Formation energy from the elements ... 1.156 eV/atom

The structure in POSCAR format:
```
GdLuNp
1.0
-3.307 -3.694 1.488
-0.840 -0.846 5.038
-4.543 1.293 2.119
Gd Lu Np
1 1 1
direct
0.250 0.250 0.250
0.000 0.000 0.000
0.750 0.750 0.750
```

---

No. 7
## Gd2Lu2O5 (GGA-PBE)

Data for Gd2Lu2O5 after structural relaxation.

Results
Crystal system ... tetragonal
Total moment ... 0.0 μB/f.u.
Total energy ... -7.59 eV per atom
Distance to the lowest polymorph of the same formula ... 29 meV/atom

The structure in POSCAR format:
```
Gd2Lu2O5
1.0
-1.667 6.043 -4.171
-4.080 -0.536 0.855
0.389 2.450 3.393
Gd Lu O
2 2 5
direct
0.000 0.000 0.000
0.500 0.000 0.000
0.228 0.500 0.500
0.772 0.500 0.500
0.233 0.500 0.000
0.767 0.500 0.000
0.233 0.000 0.500
0.767 0.000 0.500
0.500 0.500 0.500
```

---

No. 8
## Gd2Lu2O5 (GGA-PBE)

Data for Gd2Lu2O5 after structural relaxation.

Results
Crystal system ... tetragonal
Total moment ... 1.0 μB/f.u.
Total energy ... -7.62 eV per atom
Distance to the lowest polymorph of the same formula ... 0 meV/atom

The structure in POSCAR format:
```
Gd2Lu2O5
1.0
-6.305 -7.005 0.166
1.090 -1.066 -3.565
2.668 -2.365 1.523
Gd Lu O
2 2 5
direct
0.242 0.500 0.500
0.758 0.500 0.500
0.000 0.000 0.000
0.500 0.000 0.000
0.139 0.500 0.000
0.861 0.500 0.000
0.139 0.000 0.500
0.861 0.000 0.500
0.500 0.500 0.500
```

---

No. 9
## GdLu2O4 (GGA-PBE)

Data for GdLu2O4 after structural relaxation.

Results
Crystal system ... cubic
Total moment ... 0.1 μB/f.u.
Total energy ... -8.09 eV per atom

The structure in POSCAR format:
```
GdLu2O4
1.0
4.706 -4.707 0.000
-4.706 0.000 -4.707
4.706 4.707 0.000
Gd Lu O
2 4 8
direct
0.000 0.000 0.000
0.750 0.500 0.250
0.375 0.750 0.125
0.875 0.250 0.625
0.375 0.750 0.625
0.375 0.250 0.625
0.162 0.775 0.387
0.613 0.225 0.387
0.613 0.775 0.387
0.137 0.275 0.412
0.613 0.225 0.838
0.137 0.725 0.863
0.588 0.725 0.863
0.137 0.275 0.863
```

---

No. 10
## GdLu2Sc3Te2Os (GGA-PBE)

Data for GdLu2Sc3Te2Os after structural relaxation.

Results
Crystal system ... orthorhombic
Total moment ... 0.0 μB/f.u.
Total energy ... -6.33 eV per atom

The structure in POSCAR format:
```
GdLu2Sc3Te2Os
1.0
3.999 0.000 0.000
0.000 6.792 3.994
0.000 -6.792 3.994
Gd Lu Os Sc Te
1 2 1 3 2
direct
0.000 0.393 0.393
0.000 0.619 0.001
0.000 0.001 0.619
0.000 0.983 0.983
0.500 0.232 0.003
0.500 0.003 0.232
0.500 0.764 0.764
0.500 0.671 0.334
0.500 0.334 0.671
```

---

No. 11
## GdTm3Lu2Te2Os (GGA-PBE)

Data for GdTm3Lu2Te2Os after structural relaxation.

Results
Crystal system ... orthorhombic
Total moment ... 0.0 μB/f.u.
Total energy ... -5.67 eV per atom

The structure in POSCAR format:
```
GdTm3Lu2Te2Os
1.0
4.026 0.000 0.000
0.000 6.987 4.173
0.000 -6.987 4.173
Gd Lu Os Te Tm
1 2 1 2 3
direct
0.500 0.604 0.604
0.500 0.998 0.380
0.500 0.380 0.998
0.500 0.019 0.019
0.000 0.666 0.331
0.000 0.331 0.666
0.000 0.242 0.242
0.000 0.997 0.762
0.000 0.762 0.997
```

---

No. 12
## GdLuPa (GGA-PBE)

Data for GdLuPa after structural relaxation.

Results
Crystal system ... cubic
Total moment ... 2.7 μB/f.u.
Total energy ... -5.15 eV per atom
Formation energy from the elements ... 1.070 eV/atom

The structure in POSCAR format:
```
GdLuPa
1.0
0.000 3.693 3.693
3.693 0.000 3.693
3.693 3.693 0.000
Gd Lu Pa
1 1 1
direct
0.500 0.500 0.500
0.250 0.250 0.250
0.000 0.000 0.000
```

---

Copy entry 9 word for word.
## GdLu2O4 (GGA-PBE)

Data for GdLu2O4 after structural relaxation.

Results
Crystal system ... cubic
Total moment ... 0.1 μB/f.u.
Total energy ... -8.09 eV per atom

The structure in POSCAR format:
```
GdLu2O4
1.0
4.706 -4.707 0.000
-4.706 0.000 -4.707
4.706 4.707 0.000
Gd Lu O
2 4 8
direct
0.000 0.000 0.000
0.750 0.500 0.250
0.375 0.750 0.125
0.875 0.250 0.625
0.375 0.750 0.625
0.375 0.250 0.625
0.162 0.775 0.387
0.613 0.225 0.387
0.613 0.775 0.387
0.137 0.275 0.412
0.613 0.225 0.838
0.137 0.725 0.863
0.588 0.725 0.863
0.137 0.275 0.863
```

---

total moment of number 5 (GdLuSi4Ni2)?
0.0 μB/f.u.